(1)
Material: RbAg3Cl8
Method: DFT, PBE
State: relaxed

The value obtained for the density of states at the Fermi level is 1.159 states/eV per atom. The value obtained for the total energy is -2.497 eV/atom.

The space group is P-3 (No. 147) and the conventional cell measures 6.7005, 6.7005 and 8.6588 Å, with angles of 90.00, 90.00 and 120.00 degrees. The distinct sites, in fractional coordinates, are Rb at (0.0000, 0.0000, 0.0000), Ag at (0.0000, 0.0000, 0.5000), Ag at (0.3333, 0.6667, 0.7311), Cl at (0.0182, 0.3075, 0.3284) and Cl at (0.3333, 0.6667, 0.0121).

=====

(2)
Material: TiNbIn3
Method: DFT, PBE
State: relaxed

The value obtained for the density of states at the Fermi level is 2.304 states/eV per atom. The value obtained for the total energy is -4.218 eV/atom. The calculation puts the energy relative to the elements at 1.018 eV/atom. Its offset from the most stable computed form is 0.000 eV per atom.

The space group is Pm-3m (No. 221) and the conventional cell measures 5.272, 5.272 and 5.272 Å, with angles of 90.00, 90.00 and 90.00 degrees. The distinct sites, in fractional coordinates, are Ti at (0.000, 0.000, 0.000), Nb at (0.500, 0.500, 0.500) and In at (0.000, 0.500, 0.500).

=====

(3)
Material: Mg6Bi5
Method: DFT, PBE
State: relaxed

The value obtained for the density of states at the Fermi level is 0.295 states/eV per atom. The value obtained for the total energy is -2.686 eV/atom. The calculation puts the energy relative to the elements at -0.052 eV/atom.

The space group is C2/m (No. 12) and the conventional cell measures 7.624, 11.551 and 8.026 Å, with angles of 90.00, 104.58 and 90.00 degrees. The distinct sites, in fractional coordinates, are Mg at (0.187, 0.000, 0.220), Mg at (0.231, 0.181, 0.728), Bi at (0.000, 0.000, 0.500), Bi at (0.000, 0.196, 0.000) and Bi at (0.000, 0.363, 0.500).

=====

(4)
Material: CaTeRu2C
Method: DFT, PBE
State: relaxed

The value obtained for the density of states at the Fermi level is 0.709 states/eV per atom. The value obtained for the total energy is -5.144 eV/atom.

The space group is P4/mmm (No. 123) and the conventional cell measures 4.905, 4.905 and 4.385 Å, with angles of 90.00, 90.00 and 90.00 degrees. The distinct sites, in fractional coordinates, are Ca at (0.000, 0.000, 0.000), Te at (0.500, 0.500, 0.500), Ru at (0.000, 0.500, 0.500) and C at (0.500, 0.500, 0.000).

=====

(5)
Material: Ce2NdErSb5
Method: DFT, PBE
State: relaxed

The value obtained for the density of states at the Fermi level is 1.892 states/eV per atom. The value obtained for the total energy is -4.976 eV/atom.

The space group is P4/mmm (No. 123) and the conventional cell measures 5.273, 5.273 and 11.717 Å, with angles of 90.00, 90.00 and 90.00 degrees. The distinct sites, in fractional coordinates, are Ce at (0.000, 0.000, 0.214), Nd at (0.500, 0.500, 0.500), Er at (0.500, 0.500, 0.000), Sb at (0.000, 0.000, 0.500), Sb at (0.000, 0.500, 0.000) and Sb at (0.500, 0.500, 0.248).

=====

(6)
Material: HfMg2SI
Method: DFT, PBE
State: relaxed

The value obtained for the density of states at the Fermi level is 0.334 states/eV per atom. The value obtained for the total energy is -3.756 eV/atom.

The space group is P4/mmm (No. 123) and the conventional cell measures 6.050, 6.050 and 4.747 Å, with angles of 90.00, 90.00 and 90.00 degrees. The distinct sites, in fractional coordinates, are Hf at (0.000, 0.000, 0.000), Mg at (0.000, 0.500, 0.000), S at (0.000, 0.000, 0.500) and I at (0.500, 0.500, 0.500).

=====

(7)
Material: ZrCoNi2
Method: DFT, PBE
State: relaxed

The value obtained for the density of states at the Fermi level is 1.881 states/eV per atom. The value obtained for the total energy is -6.956 eV/atom. The calculation puts the energy relative to the elements at -0.152 eV/atom.

The space group is F-43m (No. 216) and the conventional cell measures 5.983, 5.983 and 5.983 Å, with angles of 90.00, 90.00 and 90.00 degrees. The distinct sites, in fractional coordinates, are Zr at (0.000, 0.000, 0.000), Co at (0.250, 0.250, 0.250), Ni at (0.000, 0.000, 0.500) and Ni at (0.250, 0.250, 0.750).

=====

(8)
Material: TbTmAu2
Method: DFT, PBE
State: relaxed

The value obtained for the density of states at the Fermi level is 0.603 states/eV per atom. The value obtained for the total energy is -4.801 eV/atom. The calculation puts the energy relative to the elements at -0.887 eV/atom. Its offset from the most stable computed form is 0.000 eV per atom.

The space group is Pm (No. 6) and the conventional cell measures 3.692, 4.686 and 5.783 Å, with angles of 90.00, 108.48 and 90.00 degrees. The distinct sites, in fractional coordinates, are Tb at (0.000, 0.000, 0.000), Tm at (0.723, 0.500, 0.444), Au at (0.272, 0.000, 0.543) and Au at (0.450, 0.500, 0.898).